Computed, not measured: a geometry-optimized PmTmCoIr structure at the PBE level of DFT. Values from VASP.

Computed properties:
magnetic moment	0.5	μB per formula unit
formation enthalpy at 0 K	-442	meV/atom
space group	F-43m

The structure in Quantum ESPRESSO input format:
```
&SYSTEM
  ibrav = 0, nat = 4, ntyp = 4
/
ATOMIC_SPECIES
Pm 145.00 Pm.upf
Tm 168.93 Tm.upf
Co 58.93 Co.upf
Ir 192.22 Ir.upf
CELL_PARAMETERS angstrom
0.000 3.419 3.419
3.419 0.000 3.419
3.419 3.419 0.000
ATOMIC_POSITIONS angstrom
Pm 0.000 0.000 0.000
Tm 3.419 3.419 3.419
Co 1.710 1.710 1.710
Ir 5.129 5.129 5.129
```